1.
Density functional theory data (PBE) for an optimized crystal structure of Ba2CdPb2.

Cell: 4.502 4.502 20.433 Å, 90.00 90.00 90.00°
Space group I4/mmm (No. 139)
Inequivalent atoms, fractional coordinates:
Ba (0.000, 0.000, 0.101) (multiplicity 4)
Cd (0.000, 0.000, 0.500) (multiplicity 2)
Pb (0.000, 0.500, 0.250) (multiplicity 4)

Calculated total energy, eV/atom: -2.636
Total magnetic moment, μB per atom: 0.0000
Relative energy among the computed polymorphs, meV/atom: 312
E_form, meV per atom: -201

***

2.
Density functional theory data (PBE) for an optimized crystal structure of PmAl2Pd5Au.

Cell: 4.100 4.100 9.560 Å, 90.00 90.00 90.00°
Space group P4/mmm (No. 123)
Inequivalent atoms, fractional coordinates:
Pm (0.000, 0.000, 0.000) (multiplicity 1)
Al (0.500, 0.500, 0.369) (multiplicity 2)
Pd (0.000, 0.500, 0.229) (multiplicity 4)
Pd (0.500, 0.500, 0.000) (multiplicity 1)
Au (0.000, 0.000, 0.500) (multiplicity 1)

Calculated total energy, eV/atom: -5.172
Total magnetic moment, μB per atom: 0.0000
E_form, meV per atom: -564

***

3.
Density functional theory data (PBE) for an optimized crystal structure of PmAg2RhO4.

Cell: 6.255 6.500 6.844 Å, 90.00 90.00 90.00°
Space group I222 (No. 23)
Inequivalent atoms, fractional coordinates:
Pm (0.000, 0.000, 0.000) (multiplicity 2)
Ag (0.000, 0.280, 0.500) (multiplicity 4)
Rh (0.000, 0.500, 0.000) (multiplicity 2)
O (0.035, 0.281, 0.803) (multiplicity 8)

Calculated total energy, eV/atom: -5.682
Total magnetic moment, μB per atom: 0.2507
Energy relative to the elements, uncorrected, eV/atom: -0.98

***

Q: Which value of calculated total energy does entry 2 give?
A: -5.172 eV/atom

***

Q: Which value of calculated total energy does entry 3 give?
A: -5.682 eV/atom

***

Q: What is the calculated total energy in the third record?
A: -5.682 eV/atom

***

Q: Which formula does entry 2 have?
A: PmAl2Pd5Au